DFT (meta-GGA SCAN) results for a PBEsol-optimized structure of BaCaZn2.

Unit cell a=7.9327 b=7.9327 c=7.9327 alpha=32.43 beta=32.43 gamma=32.43
Last column: nearest neighbours and their distance in Å.
Sites, in units of the cell vectors:
Ba  0.0000  0.0000  0.0000  6 Zn 3.42
Ca  0.8225  0.8225  0.8225  6 Zn 3.08-3.09
Zn  0.2327  0.2327  0.2327  3 Zn 2.56
Zn  0.5657  0.5657  0.5657  3 Zn 2.56

SG: R3m, No. 160
E_form (eV per atom): -0.22
Offset from the most stable computed form (meV/atom): 0.0

---

DFT (meta-GGA SCAN) results for a PBEsol-optimized structure of BaCa2Zn2.

Unit cell a=6.9010 b=6.9010 c=6.9010 alpha=135.92 beta=135.92 gamma=64.11
Last column: nearest neighbours and their distance in Å.
Sites, in units of the cell vectors:
Ba  0.0000  0.0000  0.0000  8 Zn 3.86, 8 Ca 3.91
Ca  0.2500  0.7500  0.5000  4 Zn 3.11
Ca  0.7500  0.2500  0.5000  4 Zn 3.11
Zn  0.3970  0.3970  0.0000  1 Zn 2.41
Zn  0.6030  0.6030  0.0000  1 Zn 2.41

SG: I4/mmm, No. 139
E_form (eV per atom): -0.12
Offset from the most stable computed form (meV/atom): 29.4

---

DFT (meta-GGA SCAN) results for a PBEsol-optimized structure of BaCaZn.

Unit cell a=7.3923 b=7.3923 c=7.3923 alpha=149.77 beta=149.77 gamma=43.27
Last column: nearest neighbours and their distance in Å.
Sites, in units of the cell vectors:
Ba  0.0000  0.0000  0.0000  4 Zn 3.44, 1 Ca 3.65, 4 Ba 3.85
Ca  0.2653  0.2653  0.0000  4 Zn 3.13
Zn  0.6532  0.6532  0.0000  4 Ca 3.13, 4 Ba 3.44

SG: I4mm, No. 107
E_form (eV per atom): -0.15

---

DFT (meta-GGA SCAN) results for a PBEsol-optimized structure of BaCaZn2.

Unit cell a=5.4041 b=5.4041 c=5.4041 alpha=60.00 beta=60.00 gamma=60.00
Last column: nearest neighbours and their distance in Å.
Sites, in units of the cell vectors:
Ba  0.0000  0.0000  0.0000  8 Zn 3.31
Ca  0.5000  0.5000  0.5000  8 Zn 3.31
Zn  0.2500  0.2500  0.2500  4 Ba 3.31, 4 Ca 3.31
Zn  0.7500  0.7500  0.7500  4 Ba 3.31, 4 Ca 3.31

SG: Fm-3m, No. 225
E_form (eV per atom): -0.17
Offset from the most stable computed form (meV/atom): 52.6